Entry from Alexandria via LeMat-Bulk: a crystal of Mg2Cu3Ge relaxed with PBEsol (SCAN).

As for the energy of formation from the pure elements: -287.1 meV/atom.

The space group is P6_3/mmc (No. 194) and the conventional cell measures 4.9941, 4.9941 and 7.9199 Å, with angles of 90.00, 90.00 and 120.00 degrees. The inequivalent atoms are Mg at (0.3333, 0.6667, 0.0632), Cu at (0.1707, 0.3414, 0.7500) and Ge at (0.0000, 0.0000, 0.0000).

---

Entry from Alexandria via LeMat-Bulk: a crystal of Mg2Cu3Ge relaxed with PBEsol (SCAN).

As for the energy of formation from the pure elements: -175.6 meV/atom.

The space group is Amm2 (No. 38) and the conventional cell measures 8.0589, 5.1036 and 8.5227 Å, with angles of 90.00, 90.00 and 90.00 degrees. The inequivalent atoms are Mg at (0.1768, 0.0000, 0.0000), Mg at (0.2920, 0.0000, 0.3401), Cu at (0.0000, 0.0000, 0.5006), Cu at (0.0000, 0.2461, 0.2513), Cu at (0.2490, 0.0000, 0.6730), Cu at (0.5000, 0.0000, 0.8490) and Ge at (0.5000, 0.2469, 0.0947).

---

Entry from Alexandria via LeMat-Bulk: a crystal of MgCuNiGe2 relaxed with PBEsol (SCAN).

As for the energy of formation from the pure elements: 181.1 meV/atom.

The space group is P4/mmm (No. 123) and the conventional cell measures 4.4110, 4.4110 and 4.5584 Å, with angles of 90.00, 90.00 and 90.00 degrees. The inequivalent atoms are Mg at (0.0000, 0.0000, 0.0000), Cu at (0.5000, 0.5000, 0.0000), Ni at (0.5000, 0.5000, 0.5000) and Ge at (0.0000, 0.5000, 0.5000).

---

Entry from Alexandria via LeMat-Bulk: a crystal of MgCuGe2O6 relaxed with PBEsol (SCAN).

The energy relative to the elements, uncorrected is -1831 meV per atom.

The space group is C2/c (No. 15) and the conventional cell measures 9.6208, 8.9721 and 5.1449 Å, with angles of 90.00, 101.13 and 90.00 degrees. The inequivalent atoms are Mg at (0.0000, 0.2332, 0.2500), Cu at (0.0000, 0.4049, 0.7500), Ge at (0.1995, 0.0944, 0.7977), O at (0.1142, 0.4096, 0.1243), O at (0.1191, 0.2437, 0.6200) and O at (0.1376, 0.0709, 0.1057).

---

Entry from Alexandria via LeMat-Bulk: a crystal of MgCuGe2Pb relaxed with PBEsol (SCAN).

As for the energy of formation from the pure elements: 749.8 meV/atom.

The space group is P4/mmm (No. 123) and the conventional cell measures 4.9645, 4.9645 and 4.6958 Å, with angles of 90.00, 90.00 and 90.00 degrees. The inequivalent atoms are Mg at (0.0000, 0.0000, 0.0000), Cu at (0.0000, 0.0000, 0.5000), Ge at (0.0000, 0.5000, 0.0000) and Pb at (0.5000, 0.5000, 0.5000).

---

Entry from Alexandria via LeMat-Bulk: a crystal of MgCu2GeS4 relaxed with PBEsol (SCAN).

The energy relative to the elements, uncorrected is -707 meV per atom.

The space group is I-42m (No. 121) and the conventional cell measures 5.4054, 5.4054 and 10.3150 Å, with angles of 90.00, 90.00 and 90.00 degrees. The inequivalent atoms are Mg at (0.0000, 0.0000, 0.0000), Cu at (0.0000, 0.5000, 0.2500), Ge at (0.0000, 0.0000, 0.5000) and S at (0.2335, 0.2335, 0.6324).

---

Entry from Alexandria via LeMat-Bulk: a crystal of MgCu2GeS4 relaxed with PBEsol (SCAN).

The energy relative to the elements, uncorrected is -705 meV per atom.

The space group is Pmn2_1 (No. 31) and the conventional cell measures 7.5811, 6.4374 and 6.1825 Å, with angles of 90.00, 90.00 and 90.00 degrees. The inequivalent atoms are Mg at (0.0000, 0.1611, 0.0000), Cu at (0.2488, 0.3247, 0.4918), Ge at (0.0000, 0.8239, 0.4979), S at (0.0000, 0.1578, 0.6022), S at (0.0000, 0.8053, 0.1346) and S at (0.2357, 0.6541, 0.6276).

---

Entry from Alexandria via LeMat-Bulk: a crystal of MnCu2GeTe4 relaxed with PBEsol (SCAN).

The energy relative to the elements, uncorrected is -203 meV per atom.

The space group is I-42m (No. 121) and the conventional cell measures 5.9984, 5.9984 and 11.8598 Å, with angles of 90.00, 90.00 and 90.00 degrees. The inequivalent atoms are Mn at (0.0000, 0.0000, 0.0000), Cu at (0.0000, 0.5000, 0.2500), Ge at (0.0000, 0.0000, 0.5000) and Te at (0.2474, 0.2474, 0.8664).

---

Entry from Alexandria via LeMat-Bulk: a crystal of CuSn2GeMo relaxed with PBEsol (SCAN).

As for the energy of formation from the pure elements: 1288.7 meV/atom.

The space group is P4/mmm (No. 123) and the conventional cell measures 5.1578, 5.1578 and 4.7568 Å, with angles of 90.00, 90.00 and 90.00 degrees. The inequivalent atoms are Cu at (0.0000, 0.0000, 0.0000), Sn at (0.0000, 0.5000, 0.5000), Ge at (0.5000, 0.5000, 0.5000) and Mo at (0.5000, 0.5000, 0.0000).

---

Entry from Alexandria via LeMat-Bulk: a crystal of Cu3GeN relaxed with PBEsol (SCAN).

The energy relative to the elements, uncorrected is 385 meV per atom.

The space group is Pm-3m (No. 221) and the conventional cell measures 3.9232, 3.9232 and 3.9232 Å, with angles of 90.00, 90.00 and 90.00 degrees. The inequivalent atoms are Cu at (0.0000, 0.0000, 0.5000), Ge at (0.5000, 0.5000, 0.5000) and N at (0.0000, 0.0000, 0.0000).

---

Entry from Alexandria via LeMat-Bulk: a crystal of NaCuGe3 relaxed with PBEsol (SCAN).

As for the energy of formation from the pure elements: 1403.4 meV/atom.

The space group is Pm-3m (No. 221) and the conventional cell measures 4.8778, 4.8778 and 4.8778 Å, with angles of 90.00, 90.00 and 90.00 degrees. The inequivalent atoms are Na at (0.0000, 0.0000, 0.0000), Cu at (0.5000, 0.5000, 0.5000) and Ge at (0.0000, 0.0000, 0.5000).

---

Entry from Alexandria via LeMat-Bulk: a crystal of Na2CuGe2 relaxed with PBEsol (SCAN).

As for the energy of formation from the pure elements: -64.9 meV/atom.

The space group is P4/mbm (No. 127) and the conventional cell measures 6.2830, 6.2830 and 4.8910 Å, with angles of 90.00, 90.00 and 90.00 degrees. The inequivalent atoms are Na at (0.1742, 0.3258, 0.0000), Cu at (0.0000, 0.0000, 0.5000) and Ge at (0.1393, 0.6393, 0.5000).